Entry 1:
Below is a PBEsol-optimized structure of Fe2MoOs, with properties calculated at the SCAN level.

- energy (eV/atom) = -35.48
- energy of formation (eV/atom) = 0.275
- M_tot (μB/f.u.) = 4.65

Cell lengths 2.639, 2.639, 8.594 Å; angles 81.17, 81.17, 60.00 degrees
Site moments in Bohr magnetons follow the coordinates.
Sites, in units of the cell vectors:
Fe (0.252, 0.252, 0.244)  2.54
Fe (0.748, 0.748, 0.756)  2.54
Mo (0.500, 0.500, 0.500)  -0.30
Os (0.000, 0.000, 0.000)  -0.09



Entry 2:
Below is a PBEsol-optimized structure of FeMo2Os, with properties calculated at the SCAN level.

- energy (eV/atom) = -39.81
- energy of formation (eV/atom) = 0.137
- M_tot (μB/f.u.) = 2.66

Cell lengths 3.102, 4.276, 4.993 Å; angles 115.35, 108.10, 90.00 degrees
Site moments in Bohr magnetons follow the coordinates.
Sites, in units of the cell vectors:
Fe (0.257, 0.757, 0.515)  2.72
Mo (0.997, 0.997, 0.994)  -0.06
Mo (0.743, 0.243, 0.487)  -0.10
Os (0.502, 0.502, 0.004)  0.09



Entry 3:
Below is a PBEsol-optimized structure of FeMoOs2, with properties calculated at the SCAN level.

- energy (eV/atom) = -49.15
- energy of formation (eV/atom) = 0.047
- M_tot (μB/f.u.) = 1.50

Cell lengths 3.755, 3.782, 3.782 Å; angles 90.00, 90.00, 90.00 degrees
Site moments in Bohr magnetons follow the coordinates.
Sites, in units of the cell vectors:
Fe (0.500, 0.500, 0.500)  2.17
Mo (0.500, 0.000, 0.000)  -0.35
Os (0.000, 0.000, 0.500)  -0.14
Os (0.000, 0.500, 0.000)  -0.14



Entry 4:
Below is a PBEsol-optimized structure of FeMoOs2, with properties calculated at the SCAN level.

- energy (eV/atom) = -49.06
- energy of formation (eV/atom) = 0.138
- M_tot (μB/f.u.) = 2.68

Cell lengths 2.667, 4.106, 5.179 Å; angles 90.00, 103.27, 90.00 degrees
Site moments in Bohr magnetons follow the coordinates.
Sites, in units of the cell vectors:
Fe (0.500, 0.500, 0.000)  2.77
Mo (0.500, 0.500, 0.500)  -0.24
Os (0.120, 0.000, 0.766)  0.08
Os (0.880, 0.000, 0.234)  0.08



Entry 5:
Below is a PBEsol-optimized structure of FeMo3Os, with properties calculated at the SCAN level.

- energy (eV/atom) = -37.55
- energy of formation (eV/atom) = 1.383
- M_tot (μB/f.u.) = 0.00

Cell lengths 4.314, 4.314, 4.314 Å; angles 90.00, 90.00, 90.00 degrees
Sites, in units of the cell vectors:
Mo (0.000, 0.500, 0.000)
Mo (0.000, 0.000, 0.500)
Mo (0.500, 0.000, 0.000)
Os (0.500, 0.500, 0.500)
Fe (0.000, 0.000, 0.000)



Entry 6:
Below is a PBEsol-optimized structure of Fe3MoP, with properties calculated at the SCAN level.

- energy (eV/atom) = -18.09
- energy of formation (eV/atom) = 1.846
- M_tot (μB/f.u.) = 6.15

Cell lengths 4.357, 4.357, 4.357 Å; angles 90.00, 90.00, 90.00 degrees
Site moments in Bohr magnetons follow the coordinates.
Sites, in units of the cell vectors:
P (0.500, 0.500, 0.500)  0.00
Mo (0.000, 0.000, 0.000)  -0.85
Fe (0.000, 0.500, 0.000)  2.30
Fe (0.000, 0.000, 0.500)  2.30
Fe (0.500, 0.000, 0.000)  2.30



Entry 7:
Below is a PBEsol-optimized structure of Fe2MoP, with properties calculated at the SCAN level.

- energy (eV/atom) = -20.40
- energy of formation (eV/atom) = -0.010
- M_tot (μB/f.u.) = 2.59

Cell lengths 2.715, 4.135, 4.747 Å; angles 115.82, 106.61, 90.00 degrees
Site moments in Bohr magnetons follow the coordinates.
Sites, in units of the cell vectors:
Fe (0.720, 0.720, 0.439)  1.69
Fe (0.280, 0.280, 0.561)  1.69
Mo (0.500, 0.000, 0.000)  -0.66
P (0.000, 0.500, 0.000)  -0.02



Entry 8:
Below is a PBEsol-optimized structure of Fe2MoP, with properties calculated at the SCAN level.

- energy (eV/atom) = -20.36
- energy of formation (eV/atom) = 0.027
- M_tot (μB/f.u.) = 1.46

Cell lengths 3.484, 3.484, 4.488 Å; angles 112.84, 112.84, 90.00 degrees
Site moments in Bohr magnetons follow the coordinates.
Sites, in units of the cell vectors:
Fe (0.000, 0.000, 0.000)  2.39
Fe (0.750, 0.250, 0.500)  -1.18
Mo (0.500, 0.500, 0.000)  0.21
P (0.250, 0.750, 0.500)  0.01



Entry 9:
Below is a PBEsol-optimized structure of Fe2MoP, with properties calculated at the SCAN level.

- energy (eV/atom) = -20.40
- energy of formation (eV/atom) = -0.015
- M_tot (μB/f.u.) = 0.12

Cell lengths 2.836, 4.036, 4.716 Å; angles 115.33, 107.50, 90.00 degrees
Site moments in Bohr magnetons follow the coordinates.
Sites, in units of the cell vectors:
Fe (0.970, 0.970, 0.940)  1.71
Fe (0.746, 0.246, 0.491)  -2.08
Mo (0.519, 0.519, 0.038)  0.18
P (0.265, 0.765, 0.531)  0.01



Entry 10:
Below is a PBEsol-optimized structure of Fe3MoP, with properties calculated at the SCAN level.

- energy (eV/atom) = -19.31
- energy of formation (eV/atom) = 0.624
- M_tot (μB/f.u.) = 6.15

Cell lengths 4.024, 4.024, 4.024 Å; angles 90.00, 90.00, 90.00 degrees
Site moments in Bohr magnetons follow the coordinates.
Sites, in units of the cell vectors:
P (0.000, 0.000, 0.000)  -0.14
Mo (0.500, 0.500, 0.500)  -0.20
Fe (0.000, 0.500, 0.000)  2.21
Fe (0.000, 0.000, 0.500)  2.21
Fe (0.500, 0.000, 0.000)  2.21



Entry 11:
Below is a PBEsol-optimized structure of Fe2MoP12, with properties calculated at the SCAN level.

- energy (eV/atom) = -13.45
- energy of formation (eV/atom) = -0.391
- M_tot (μB/f.u.) = 0.00

Cell lengths 5.620, 11.016, 13.632 Å; angles 90.00, 90.00, 90.00 degrees
Sites, in units of the cell vectors:
Fe (0.603, 0.459, 0.150)
Fe (0.603, 0.041, 0.850)
Fe (0.897, 0.959, 0.350)
Fe (0.897, 0.541, 0.650)
Fe (0.397, 0.541, 0.850)
Fe (0.397, 0.959, 0.150)
Fe (0.103, 0.041, 0.650)
Fe (0.103, 0.459, 0.350)
Mo (0.601, 0.250, 0.500)
Mo (0.899, 0.750, 0.000)
Mo (0.399, 0.750, 0.500)
Mo (0.101, 0.250, 0.000)
P (0.965, 0.499, 0.203)
P (0.965, 0.001, 0.797)
P (0.535, 0.999, 0.297)
P (0.535, 0.501, 0.703)
P (0.035, 0.501, 0.797)
P (0.035, 0.999, 0.203)
P (0.465, 0.001, 0.703)
P (0.465, 0.499, 0.297)
P (0.735, 0.438, 0.408)
P (0.735, 0.062, 0.592)
P (0.765, 0.938, 0.092)
P (0.765, 0.562, 0.908)
P (0.985, 0.196, 0.167)
P (0.985, 0.304, 0.833)
P (0.515, 0.696, 0.333)
P (0.515, 0.804, 0.667)
P (0.015, 0.804, 0.833)
P (0.015, 0.696, 0.167)
P (0.485, 0.304, 0.667)
P (0.485, 0.196, 0.333)
P (0.118, 0.271, 0.311)
P (0.118, 0.229, 0.689)
P (0.382, 0.771, 0.189)
P (0.382, 0.729, 0.811)
P (0.882, 0.729, 0.689)
P (0.882, 0.771, 0.311)
P (0.618, 0.229, 0.811)
P (0.618, 0.271, 0.189)
P (0.258, 0.398, 0.491)
P (0.258, 0.102, 0.509)
P (0.242, 0.898, 0.009)
P (0.242, 0.602, 0.991)
P (0.742, 0.602, 0.509)
P (0.742, 0.898, 0.491)
P (0.758, 0.102, 0.991)
P (0.758, 0.398, 0.009)
P (0.436, 0.144, 0.087)
P (0.436, 0.356, 0.913)
P (0.064, 0.644, 0.413)
P (0.064, 0.856, 0.587)
P (0.564, 0.856, 0.913)
P (0.564, 0.644, 0.087)
P (0.936, 0.356, 0.587)
P (0.936, 0.144, 0.413)
P (0.235, 0.438, 0.092)
P (0.235, 0.062, 0.908)
P (0.265, 0.938, 0.408)
P (0.265, 0.562, 0.592)



Entry 12:
Below is a PBEsol-optimized structure of FeMoPS2, with properties calculated at the SCAN level.

- formation energy (no corrections) (meV per atom) = 695
- energy (eV/atom) = -15.84
- M_tot (μB/f.u.) = 0.23

Cell lengths 4.303, 4.267, 4.267 Å; angles 90.00, 90.00, 90.00 degrees
Site moments in Bohr magnetons follow the coordinates.
Sites, in units of the cell vectors:
S (0.000, 0.000, 0.500)  -0.25
S (0.000, 0.500, 0.000)  -0.25
P (0.500, 0.000, 0.000)  -0.25
Mo (0.500, 0.500, 0.500)  3.04
Fe (0.000, 0.000, 0.000)  -1.91



Look up the energy of the ninth one. -20.40 eV/atom



energy of number 9 (Fe2MoP)? -20.40 eV/atom



What is the energy in the eleventh record? -13.45 eV/atom